[1]
Li3Co2P3O12 PBEsol optimized geometry; space group = P2_1/c, No. 14; calculated total energy = -140.23 eV per formula unit; uncorrected formation energy = -1.925 eV/atom; volume = 196.3 Å³/f.u.; energy above the most stable polymorph in this dataset = 0 meV per atom
1.0
8.125 0.000 0.000
0.000 8.395 0.000
-7.980 0.000 11.515
Li Co P O
12 8 12 48
direct
0.001 0.209 0.167
0.001 0.291 0.667
0.268 0.001 0.840
0.268 0.499 0.340
0.387 0.089 0.306
0.387 0.411 0.806
0.613 0.589 0.194
0.613 0.911 0.694
0.732 0.501 0.660
0.732 0.999 0.160
0.999 0.709 0.333
0.999 0.791 0.833
0.134 0.028 0.384
0.134 0.472 0.884
0.358 0.027 0.108
0.358 0.473 0.608
0.642 0.527 0.392
0.642 0.973 0.892
0.866 0.528 0.116
0.866 0.972 0.616
0.035 0.624 0.642
0.035 0.876 0.142
0.257 0.117 0.644
0.257 0.383 0.144
0.459 0.748 0.991
0.459 0.752 0.491
0.541 0.248 0.509
0.541 0.252 0.009
0.743 0.617 0.856
0.743 0.883 0.356
0.965 0.124 0.858
0.965 0.376 0.358
0.016 0.715 0.190
0.016 0.785 0.690
0.116 0.078 0.685
0.116 0.422 0.185
0.122 0.502 0.746
0.122 0.998 0.246
0.157 0.076 0.519
0.157 0.424 0.019
0.171 0.626 0.600
0.171 0.874 0.100
0.180 0.055 0.946
0.180 0.445 0.446
0.249 0.677 0.937
0.249 0.823 0.437
0.270 0.197 0.160
0.270 0.303 0.660
0.381 0.121 0.439
0.381 0.379 0.939
0.455 0.025 0.725
0.455 0.475 0.225
0.459 0.673 0.390
0.459 0.827 0.890
0.496 0.632 0.585
0.496 0.868 0.085
0.504 0.132 0.915
0.504 0.368 0.415
0.541 0.173 0.110
0.541 0.327 0.610
0.545 0.525 0.775
0.545 0.975 0.275
0.619 0.621 0.061
0.619 0.879 0.561
0.730 0.697 0.340
0.730 0.803 0.840
0.751 0.177 0.563
0.751 0.323 0.063
0.820 0.555 0.554
0.820 0.945 0.054
0.829 0.126 0.900
0.829 0.374 0.400
0.843 0.576 0.981
0.843 0.924 0.481
0.878 0.002 0.754
0.878 0.498 0.254
0.884 0.578 0.815
0.884 0.922 0.315
0.984 0.215 0.310
0.984 0.285 0.810

[2]
Li3Co2P3O12 PBEsol optimized geometry; space group = R-3, No. 148; calculated total energy = -140.13 eV per formula unit; uncorrected formation energy = -1.920 eV/atom; volume = 213.2 Å³/f.u.; energy above the most stable polymorph in this dataset = 5 meV per atom
1.0
4.102 2.368 7.315
-4.102 2.368 7.315
0.000 -4.736 7.315
Li Co P O
6 4 6 24
direct
0.174 0.760 0.423
0.240 0.577 0.826
0.423 0.174 0.760
0.577 0.826 0.240
0.760 0.423 0.174
0.826 0.240 0.577
0.152 0.152 0.152
0.355 0.355 0.355
0.645 0.645 0.645
0.848 0.848 0.848
0.033 0.459 0.760
0.240 0.967 0.541
0.459 0.760 0.033
0.541 0.240 0.967
0.760 0.033 0.459
0.967 0.541 0.240
0.002 0.326 0.980
0.020 0.998 0.674
0.026 0.667 0.714
0.121 0.514 0.293
0.246 0.379 0.623
0.286 0.974 0.333
0.293 0.121 0.514
0.326 0.980 0.002
0.333 0.286 0.974
0.377 0.754 0.621
0.379 0.623 0.246
0.486 0.707 0.879
0.514 0.293 0.121
0.621 0.377 0.754
0.623 0.246 0.379
0.667 0.714 0.026
0.674 0.020 0.998
0.707 0.879 0.486
0.714 0.026 0.667
0.754 0.621 0.377
0.879 0.486 0.707
0.974 0.333 0.286
0.980 0.002 0.326
0.998 0.674 0.020

[3]
LiCo3SbP6O24 PBEsol optimized geometry; space group = R3, No. 146; calculated total energy = -250.39 eV per formula unit; uncorrected formation energy = -1.712 eV/atom; volume = 398.3 Å³/f.u.
1.0
4.011 2.316 7.146
-4.011 2.316 7.146
0.000 -4.632 7.146
Li Co Sb P O
1 3 1 6 24
direct
0.000 0.000 0.000
0.127 0.127 0.127
0.335 0.335 0.335
0.634 0.634 0.634
0.844 0.844 0.844
0.021 0.443 0.731
0.246 0.955 0.511
0.443 0.731 0.021
0.511 0.246 0.955
0.731 0.021 0.443
0.955 0.511 0.246
0.012 0.598 0.780
0.099 0.229 0.878
0.106 0.871 0.734
0.164 0.503 0.197
0.166 0.476 0.511
0.178 0.974 0.366
0.197 0.164 0.503
0.229 0.878 0.099
0.366 0.178 0.974
0.465 0.808 0.481
0.467 0.777 0.806
0.476 0.511 0.166
0.481 0.465 0.808
0.503 0.197 0.164
0.511 0.166 0.476
0.598 0.780 0.012
0.734 0.106 0.871
0.777 0.806 0.467
0.780 0.012 0.598
0.806 0.467 0.777
0.808 0.481 0.465
0.871 0.734 0.106
0.878 0.099 0.229
0.974 0.366 0.178

Question: The highest calculated total energy belongs to which entry?
Answer: number 2